No. 1
Material: Hf2Be2Re
Method: DFT, PBE-GGA
State: optimized geometry

Values from the calculation:
E_form: -246 meV per atom
Fermi-level density of states: 10.14 states/eV per cell

a b c (Å): 6.4883 6.4883 3.5046
angles (deg): 90.00 90.00 90.00
Space group P4/mbm (No. 127)
One atom of each set of equivalent atoms:
Hf: 0.1835 0.3165 0.0000 x4
Be: 0.1162 0.6162 0.5000 x4
Re: 0.0000 0.0000 0.5000 x2

No. 2
Material: HfBe2Re2
Method: DFT, PBE-GGA
State: optimized geometry

Values from the calculation:
E_form: -311 meV per atom
Fermi-level density of states: 3.94 states/eV per cell

a b c (Å): 6.3356 6.3356 3.2351
angles (deg): 90.00 90.00 90.00
Space group P4/mbm (No. 127)
One atom of each set of equivalent atoms:
Hf: 0.0000 0.0000 0.0000 x2
Be: 0.1145 0.3855 0.0000 x4
Re: 0.1718 0.6718 0.5000 x4

No. 3
Material: HfBe4Re
Method: DFT, PBE-GGA
State: optimized geometry

Values from the calculation:
E_form: -338 meV per atom
Fermi-level density of states: 15.76 states/eV per cell

a b c (Å): 6.4651 6.4651 6.4651
angles (deg): 90.00 90.00 90.00
Space group F-43m (No. 216)
One atom of each set of equivalent atoms:
Hf: 0.0000 0.0000 0.0000 x4
Be: 0.1227 0.1227 0.3773 x16
Re: 0.2500 0.2500 0.7500 x4

No. 4
Material: HfBe2Re2
Method: DFT, PBE-GGA
State: optimized geometry

Values from the calculation:
E_form: 111 meV per atom
Fermi-level density of states: 3.82 states/eV per cell

a b c (Å): 4.1938 4.1938 8.1829
angles (deg): 90.00 90.00 90.00
Space group I4/mmm (No. 139)
One atom of each set of equivalent atoms:
Hf: 0.0000 0.0000 0.0000 x2
Be: 0.0000 0.5000 0.2500 x4
Re: 0.0000 0.0000 0.3514 x4

No. 5
Material: HfBe2Re
Method: DFT, PBE-GGA
State: optimized geometry

Values from the calculation:
E_form: -54 meV per atom
Fermi-level density of states: 8.69 states/eV per cell

a b c (Å): 5.9306 5.9306 5.9306
angles (deg): 90.00 90.00 90.00
Space group Fm-3m (No. 225)
One atom of each set of equivalent atoms:
Hf: 0.0000 0.0000 0.0000 x4
Be: 0.2500 0.2500 0.2500 x8
Re: 0.0000 0.0000 0.5000 x4

No. 6
Material: HfBe2Re
Method: DFT, PBE-GGA
State: optimized geometry

Values from the calculation:
E_form: 452 meV per atom
Fermi-level density of states: 10.60 states/eV per cell

a b c (Å): 3.9180 3.9180 16.4747
angles (deg): 90.00 90.00 90.00
Space group I-42d (No. 122)
One atom of each set of equivalent atoms:
Hf: 0.0000 0.0000 0.0000 x4
Be: 0.0644 0.2500 0.6250 x8
Re: 0.0000 0.0000 0.5000 x4

No. 7
Material: Hf2BeReSb
Method: DFT, PBE-GGA
State: optimized geometry

Values from the calculation:
E_form (uncorrected): 1.41 eV/atom
Fermi-level density of states: 4.24 states/eV per cell

a b c (Å): 5.2231 5.2231 4.0681
angles (deg): 90.00 90.00 90.00
Space group P4/mmm (No. 123)
One atom of each set of equivalent atoms:
Hf: 0.0000 0.5000 0.0000 x2
Be: 0.0000 0.0000 0.5000 x1
Re: 0.5000 0.5000 0.5000 x1
Sb: 0.0000 0.0000 0.0000 x1

No. 8
Material: HfTaBeRe
Method: DFT, PBE-GGA
State: optimized geometry

Values from the calculation:
E_form: -130 meV per atom
Fermi-level density of states: 5.53 states/eV per cell

a b c (Å): 6.3767 6.3767 6.3767
angles (deg): 90.00 90.00 90.00
Space group F-43m (No. 216)
One atom of each set of equivalent atoms:
Hf: 0.0000 0.0000 0.0000 x4
Ta: 0.0000 0.0000 0.5000 x4
Be: 0.2500 0.2500 0.7500 x4
Re: 0.2500 0.2500 0.2500 x4

No. 9
Material: HfTa2BeRe
Method: DFT, PBE-GGA
State: optimized geometry

Values from the calculation:
E_form: 387 meV per atom
Fermi-level density of states: 3.90 states/eV per cell

a b c (Å): 4.5363 4.5363 4.1516
angles (deg): 90.00 90.00 90.00
Space group P4/mmm (No. 123)
One atom of each set of equivalent atoms:
Hf: 0.0000 0.0000 0.0000 x1
Ta: 0.0000 0.5000 0.5000 x2
Be: 0.5000 0.5000 0.5000 x1
Re: 0.5000 0.5000 0.0000 x1

No. 10
Material: HfZrBeRe
Method: DFT, PBE-GGA
State: optimized geometry

Values from the calculation:
E_form: -169 meV per atom
Fermi-level density of states: 10.40 states/eV per cell

a b c (Å): 6.5173 6.5173 6.5173
angles (deg): 90.00 90.00 90.00
Space group F-43m (No. 216)
One atom of each set of equivalent atoms:
Hf: 0.0000 0.0000 0.0000 x4
Zr: 0.0000 0.0000 0.5000 x4
Be: 0.2500 0.2500 0.2500 x4
Re: 0.2500 0.2500 0.7500 x4

No. 11
Material: HfBe4Rh5
Method: DFT, PBE-GGA
State: optimized geometry

Values from the calculation:
E_form: -618 meV per atom
Fermi-level density of states: 6.89 states/eV per cell

a b c (Å): 2.8953 2.8953 14.5555
angles (deg): 90.00 90.00 90.00
Space group P4/mmm (No. 123)
One atom of each set of equivalent atoms:
Hf: 0.0000 0.0000 0.0000 x1
Be: 0.0000 0.0000 0.2241 x2
Be: 0.0000 0.0000 0.4075 x2
Rh: 0.5000 0.5000 0.1249 x2
Rh: 0.5000 0.5000 0.3123 x2
Rh: 0.5000 0.5000 0.5000 x1

No. 12
Material: HfBe9Rh2
Method: DFT, PBE-GGA
State: optimized geometry

Values from the calculation:
E_form: -402 meV per atom
Fermi-level density of states: 4.17 states/eV per cell

a b c (Å): 4.4254 4.4254 13.8766
angles (deg): 90.00 90.00 120.00
Space group P6_3/mmc (No. 194)
One atom of each set of equivalent atoms:
Hf: 0.3333 0.6667 0.2500 x2
Be: 0.0000 0.0000 0.0000 x2
Be: 0.0000 0.0000 0.2500 x2
Be: 0.1695 0.3391 0.6197 x12
Be: 0.3333 0.6667 0.7500 x2
Rh: 0.3333 0.6667 0.0435 x4

Which of these has the lowest Fermi-level density of states? number 4

Repeat the eleventh record exactly.
Material: HfBe4Rh5
Method: DFT, PBE-GGA
State: optimized geometry

Values from the calculation:
E_form: -618 meV per atom
Fermi-level density of states: 6.89 states/eV per cell

a b c (Å): 2.8953 2.8953 14.5555
angles (deg): 90.00 90.00 90.00
Space group P4/mmm (No. 123)
One atom of each set of equivalent atoms:
Hf: 0.0000 0.0000 0.0000 x1
Be: 0.0000 0.0000 0.2241 x2
Be: 0.0000 0.0000 0.4075 x2
Rh: 0.5000 0.5000 0.1249 x2
Rh: 0.5000 0.5000 0.3123 x2
Rh: 0.5000 0.5000 0.5000 x1